## TlPt3O (meta-GGA SCAN)

Data for TlPt3O at its PBEsol-relaxed geometry.

The structure belongs to space group Pm-3m (No. 221); the cell edges are 4.298, 4.298 and 4.298 Å and the angles 90.00°, 90.00° and 90.00°. Symmetry generates all atoms from Tl at (0.000, 0.000, 0.000), Pt at (0.000, 0.500, 0.500) and O at (0.500, 0.500, 0.500).

For the raw total energy, the calculation gives -286.31 eV/cell.



## Tm2Pt2O7 (meta-GGA SCAN)

Data for Tm2Pt2O7 at its PBEsol-relaxed geometry.

The structure belongs to space group Fd-3m (No. 227, origin choice 2); the cell edges are 10.055, 10.055 and 10.055 Å and the angles 90.00°, 90.00° and 90.00°. Symmetry generates all atoms from Tm at (0.000, 0.000, 0.000), Pt at (0.000, 0.000, 0.500), O at (0.093, 0.375, 0.875) and O at (0.125, 0.125, 0.125).

For the raw total energy, the calculation gives -2507.80 eV/cell.



## PtWO2 (meta-GGA SCAN)

Data for PtWO2 at its PBEsol-relaxed geometry.

The structure belongs to space group Fm-3m (No. 225); the cell edges are 5.566, 5.566 and 5.566 Å and the angles 90.00°, 90.00° and 90.00°. Symmetry generates all atoms from Pt at (0.000, 0.000, 0.000), W at (0.000, 0.000, 0.500) and O at (0.250, 0.250, 0.250).

For the raw total energy, the calculation gives -603.31 eV/cell.



## PtWO2 (meta-GGA SCAN)

Data for PtWO2 at its PBEsol-relaxed geometry.

The structure belongs to space group R-3m (No. 166, hexagonal axes); the cell edges are 2.8471, 2.8471 and 21.5497 Å and the angles 90.00°, 90.00° and 120.00°. Symmetry generates all atoms from Pt at (0.0000, 0.0000, 0.0000), W at (0.0000, 0.0000, 0.5000) and O at (0.0000, 0.0000, 0.4147).

For the raw total energy, the calculation gives -457.73 eV/cell.



## Y3PtO (meta-GGA SCAN)

Data for Y3PtO at its PBEsol-relaxed geometry.

The structure belongs to space group Pm-3m (No. 221); the cell edges are 5.312, 5.312 and 5.312 Å and the angles 90.00°, 90.00° and 90.00°. Symmetry generates all atoms from Y at (0.000, 0.000, 0.500), Pt at (0.000, 0.000, 0.000) and O at (0.500, 0.500, 0.500).

For the raw total energy, the calculation gives -161.52 eV/cell.



## Zn2PtO4 (meta-GGA SCAN)

Data for Zn2PtO4 at its PBEsol-relaxed geometry.

The structure belongs to space group Imma (No. 74); the cell edges are 5.864, 6.139 and 8.690 Å and the angles 90.00°, 90.00° and 90.00°. Symmetry generates all atoms from Zn at (0.000, 0.250, 0.150), Zn at (0.250, 0.250, 0.750), Pt at (0.000, 0.000, 0.500), O at (0.000, 0.018, 0.732) and O at (0.227, 0.250, 0.499).

For the raw total energy, the calculation gives -523.13 eV/cell.



## Zr2PtO (meta-GGA SCAN)

Data for Zr2PtO at its PBEsol-relaxed geometry.

The structure belongs to space group I-42d (No. 122); the cell edges are 5.451, 5.451 and 10.336 Å and the angles 90.00°, 90.00° and 90.00°. Symmetry generates all atoms from Zr at (0.175, 0.250, 0.125), Pt at (0.000, 0.000, 0.500) and O at (0.000, 0.000, 0.000).

For the raw total energy, the calculation gives -579.54 eV/cell.



## Pu2O3 (meta-GGA SCAN)

Data for Pu2O3 at its PBEsol-relaxed geometry.

The structure belongs to space group Ia-3 (No. 206); the cell edges are 10.720, 10.720 and 10.720 Å and the angles 90.00°, 90.00° and 90.00°. Symmetry generates all atoms from Pu at (0.000, 0.250, 0.474), Pu at (0.250, 0.250, 0.250) and O at (0.113, 0.148, 0.621).

For the raw total energy, the calculation gives -4068.42 eV/cell.



## Pu2TeO2 (meta-GGA SCAN)

Data for Pu2TeO2 at its PBEsol-relaxed geometry.

The structure belongs to space group I4/mmm (No. 139); the cell edges are 3.899, 3.899 and 12.315 Å and the angles 90.00°, 90.00° and 90.00°. Symmetry generates all atoms from Pu at (0.000, 0.000, 0.156), Te at (0.000, 0.000, 0.500) and O at (0.000, 0.500, 0.250).

For the raw total energy, the calculation gives -564.76 eV/cell.



## PuTiO3 (meta-GGA SCAN)

Data for PuTiO3 at its PBEsol-relaxed geometry.

The structure belongs to space group Pm-3m (No. 221); the cell edges are 3.870, 3.870 and 3.870 Å and the angles 90.00°, 90.00° and 90.00°. Symmetry generates all atoms from Pu at (0.000, 0.000, 0.000), Ti at (0.500, 0.500, 0.500) and O at (0.000, 0.500, 0.500).

For the raw total energy, the calculation gives -160.09 eV/cell.



## RbO3 (meta-GGA SCAN)

Data for RbO3 at its PBEsol-relaxed geometry.

The structure belongs to space group P2_1/c (No. 14); the cell edges are 6.456, 5.932 and 8.783 Å and the angles 90.00°, 123.29° and 90.00°. Symmetry generates all atoms from Rb at (0.225, 0.245, 0.086), O at (0.100, 0.562, 0.791), O at (0.288, 0.706, 0.896) and O at (0.316, 0.745, 0.557).

For the raw total energy, the calculation gives -168.80 eV/cell.



## Rb6O (meta-GGA SCAN)

Data for Rb6O at its PBEsol-relaxed geometry.

The structure belongs to space group P6_3/m (No. 176); the cell edges are 8.2844, 8.2844 and 30.0339 Å and the angles 90.00°, 90.00° and 120.00°. Symmetry generates all atoms from Rb at (0.0000, 0.0000, 0.0000), Rb at (0.0683, 0.3861, 0.1387), Rb at (0.0805, 0.6546, 0.2500), Rb at (0.3333, 0.6667, 0.5158) and O at (0.3333, 0.6667, 0.1867).

For the raw total energy, the calculation gives -536.39 eV/cell.



Question: Which value of raw total energy does entry 11 give?
Answer: -168.80 eV/cell



Question: Which of these has the highest raw total energy?
Answer: PuTiO3



Question: Which formula does entry 12 have?
Answer: Rb6O



Question: What is the formula in the fifth record?
Answer: Y3PtO